Density functional theory data (PBE-GGA) for an optimized crystal structure of NaTl2TeF.

Raw formation energy = -102.6 kJ per mole of atoms

```
data_NaTl2TeF
_space_group_name_H-M_alt 'P 4/m m m'
_space_group_IT_number 123
_space_group_name_Hall '-P 4 2'
_cell_length_a 5.4535
_cell_length_b 5.4535
_cell_length_c 4.7048
_cell_angle_alpha 90.00
_cell_angle_beta 90.00
_cell_angle_gamma 90.00
loop_
_atom_site_label
_atom_site_fract_x
_atom_site_fract_y
_atom_site_fract_z
Na1 0.0000 0.0000 0.0000
Tl1 0.0000 0.5000 0.5000
Te1 0.5000 0.5000 0.0000
F1 0.0000 0.0000 0.5000
```